[1]
# Np3Al5Se12 | Alexandria | PBE | relaxed
# E_form (uncorrected) = -0.927 eV/atom
# Calculated total energy = -943.19 eV/cell
data_Np3Al5Se12
_cell_length_a 15.8240
_cell_length_b 15.8240
_cell_length_c 15.8240
_cell_angle_alpha 90.00
_cell_angle_beta 90.00
_cell_angle_gamma 90.00
_space_group_name_H-M_alt 'I a -3 d'
_space_group_IT_number 230
_space_group_name_Hall '-I 4bd 2c 3'
loop_
_atom_site_label
_atom_site_fract_x
_atom_site_fract_y
_atom_site_fract_z
_atom_site_occupancy
Np1 0.0000 0.2500 0.1250 1
Al1 0.0000 0.0000 0.0000 1
Al2 0.0000 0.2500 0.3750 1
Se1 0.0278 0.0592 0.6491 1

***

[2]
# NpAlSe4 | Alexandria | PBE | relaxed
# E_form (uncorrected) = -0.677 eV/atom
# Calculated total energy = -69.37 eV/cell
data_NpAlSe4
_cell_length_a 8.0048
_cell_length_b 6.6189
_cell_length_c 6.4754
_cell_angle_alpha 90.00
_cell_angle_beta 90.00
_cell_angle_gamma 90.00
_space_group_name_H-M_alt 'P m n 21'
_space_group_IT_number 31
loop_
_space_group_symop_operation_xyz
'x,y,z'
'-x+1/2,-y,z+1/2'
'-x,y,z'
'x+1/2,-y,z+1/2'
loop_
_atom_site_label
_atom_site_fract_x
_atom_site_fract_y
_atom_site_fract_z
_atom_site_occupancy
Np1 0.0000 0.0239 0.0000 1
Al1 0.0000 0.6620 0.4089 1
Se1 0.0000 0.3246 0.2647 1
Se2 0.0000 0.6775 0.7741 1
Se3 0.2393 0.8208 0.2453 1

***

[3]
# NpAlSe2 | Alexandria | PBE | relaxed
# E_form (uncorrected) = -0.367 eV/atom
# Calculated total energy = -75.37 eV/cell
data_NpAlSe2
_cell_length_a 3.6168
_cell_length_b 3.6168
_cell_length_c 26.0566
_cell_angle_alpha 90.00
_cell_angle_beta 90.00
_cell_angle_gamma 120.00
_space_group_name_H-M_alt 'R -3 m'
_space_group_IT_number 166
_space_group_name_Hall '-R 3 2"'
loop_
_atom_site_label
_atom_site_fract_x
_atom_site_fract_y
_atom_site_fract_z
_atom_site_occupancy
Np1 0.0000 0.0000 0.0000 1
Al1 0.0000 0.0000 0.5000 1
Se1 0.0000 0.0000 0.1108 1

***

[4]
# NpAlSe | Alexandria | PBE | relaxed
# E_form (uncorrected) = -0.359 eV/atom
# Calculated total energy = -127.47 eV/cell
data_NpAlSe
_cell_length_a 4.8537
_cell_length_b 4.8537
_cell_length_c 19.9013
_cell_angle_alpha 90.00
_cell_angle_beta 90.00
_cell_angle_gamma 120.00
_space_group_name_H-M_alt 'R -3 m'
_space_group_IT_number 166
_space_group_name_Hall '-R 3 2"'
loop_
_atom_site_label
_atom_site_fract_x
_atom_site_fract_y
_atom_site_fract_z
_atom_site_occupancy
Np1 0.0000 0.0000 0.0598 1
Al1 0.0000 0.0000 0.3377 1
Se1 0.0000 0.0000 0.2140 1

***

[5]
# Sr2NpAlSe5 | Alexandria | PBE | relaxed
# E_form (uncorrected) = -1.459 eV/atom
# Calculated total energy = -202.39 eV/cell
data_Sr2NpAlSe5
_cell_length_a 4.1437
_cell_length_b 18.7475
_cell_length_c 12.9144
_cell_angle_alpha 90.00
_cell_angle_beta 90.00
_cell_angle_gamma 90.00
_space_group_name_H-M_alt 'C m c 21'
_space_group_IT_number 36
loop_
_space_group_symop_operation_xyz
'x,y,z'
'-x,-y,z+1/2'
'-x,y,z'
'x,-y,z+1/2'
'x+1/2,y+1/2,z'
'-x+1/2,-y+1/2,z+1/2'
'-x+1/2,y+1/2,z'
'x+1/2,-y+1/2,z+1/2'
loop_
_atom_site_label
_atom_site_fract_x
_atom_site_fract_y
_atom_site_fract_z
_atom_site_occupancy
Sr1 0.0000 0.1171 0.0000 1
Sr2 0.0000 0.1207 0.6455 1
Np1 0.0000 0.2040 0.3426 1
Al1 0.0000 0.4402 0.7469 1
Se1 0.0000 0.0419 0.3502 1
Se2 0.0000 0.2967 0.9951 1
Se3 0.0000 0.3166 0.6826 1
Se4 0.0000 0.3555 0.3247 1
Se5 0.0000 0.4996 0.0866 1

***

[6]
# Np3AlTl3Se8 | Alexandria | PBE | relaxed
# E_form (uncorrected) = -0.837 eV/atom
# Calculated total energy = -180.19 eV/cell
data_Np3AlTl3Se8
_cell_length_a 14.3568
_cell_length_b 8.2294
_cell_length_c 9.1846
_cell_angle_alpha 90.00
_cell_angle_beta 121.47
_cell_angle_gamma 90.00
_space_group_name_H-M_alt 'C 1 2/m 1'
_space_group_IT_number 12
loop_
_space_group_symop_operation_xyz
'x,y,z'
'-x,-y,-z'
'-x,y,-z'
'x,-y,z'
'x+1/2,y+1/2,z'
'-x+1/2,-y+1/2,-z'
'-x+1/2,y+1/2,-z'
'x+1/2,-y+1/2,z'
loop_
_atom_site_label
_atom_site_fract_x
_atom_site_fract_y
_atom_site_fract_z
_atom_site_occupancy
Np1 0.0000 0.0000 0.0000 1
Np2 0.2500 0.2500 0.0000 1
Al1 0.0000 0.5000 0.0000 1
Tl1 0.0000 0.5000 0.5000 1
Tl2 0.2500 0.2500 0.5000 1
Se1 0.0132 0.2695 0.8101 1
Se2 0.2171 0.5000 0.1886 1
Se3 0.2357 0.0000 0.2067 1

***

[7]
# Np3AlTl4Se8 | Alexandria | PBE | relaxed
# E_form (uncorrected) = -0.803 eV/atom
# Calculated total energy = -278.25 eV/cell
data_Np3AlTl4Se8
_cell_length_a 8.3271
_cell_length_b 8.3271
_cell_length_c 23.1184
_cell_angle_alpha 90.00
_cell_angle_beta 90.00
_cell_angle_gamma 120.00
_space_group_name_H-M_alt 'R -3 m'
_space_group_IT_number 166
_space_group_name_Hall '-R 3 2"'
loop_
_atom_site_label
_atom_site_fract_x
_atom_site_fract_y
_atom_site_fract_z
_atom_site_occupancy
Np1 0.0000 0.5000 0.0000 1
Al1 0.0000 0.0000 0.0000 1
Tl1 0.0000 0.0000 0.5000 1
Tl2 0.0000 0.5000 0.5000 1
Se1 0.0000 0.0000 0.2651 1
Se2 0.0229 0.5114 0.7306 1

***

[8]
# NpAlSi | Alexandria | PBE | relaxed
# E_form (uncorrected) = 0.321 eV/atom
# Calculated total energy = -42.29 eV/cell
data_NpAlSi
_cell_length_a 3.8935
_cell_length_b 3.8935
_cell_length_c 8.1578
_cell_angle_alpha 90.00
_cell_angle_beta 90.00
_cell_angle_gamma 90.00
_space_group_name_H-M_alt 'I 4 m m'
_space_group_IT_number 107
_space_group_name_Hall 'I 4 -2'
loop_
_atom_site_label
_atom_site_fract_x
_atom_site_fract_y
_atom_site_fract_z
_atom_site_occupancy
Np1 0.0000 0.0000 0.0000 1
Al1 0.0000 0.0000 0.3468 1
Si1 0.0000 0.0000 0.6516 1

***

[9]
# NpAl3Si3 | Alexandria | PBE | relaxed
# E_form (uncorrected) = 0.430 eV/atom
# Calculated total energy = -74.85 eV/cell
data_NpAl3Si3
_cell_length_a 6.8747
_cell_length_b 6.8747
_cell_length_c 6.8747
_cell_angle_alpha 90.00
_cell_angle_beta 90.00
_cell_angle_gamma 90.00
_space_group_name_H-M_alt 'P m -3 n'
_space_group_IT_number 223
_space_group_name_Hall '-P 4n 2 3'
loop_
_atom_site_label
_atom_site_fract_x
_atom_site_fract_y
_atom_site_fract_z
_atom_site_occupancy
Np1 0.0000 0.0000 0.0000 1
Al1 0.0000 0.2500 0.5000 1
Si1 0.0000 0.5000 0.2500 1

***

[10]
# NpAlSi | Alexandria | PBE | relaxed
# E_form (uncorrected) = -0.071 eV/atom
# Calculated total energy = -22.32 eV/cell
data_NpAlSi
_cell_length_a 4.6872
_cell_length_b 4.6872
_cell_length_c 2.5701
_cell_angle_alpha 90.00
_cell_angle_beta 90.00
_cell_angle_gamma 120.00
_space_group_name_H-M_alt 'P -6 m 2'
_space_group_IT_number 187
_space_group_name_Hall 'P -6 2'
loop_
_atom_site_label
_atom_site_fract_x
_atom_site_fract_y
_atom_site_fract_z
_atom_site_occupancy
Np1 0.0000 0.0000 0.0000 1
Al1 0.6667 0.3333 0.5000 1
Si1 0.3333 0.6667 0.5000 1

***

[11]
# Sm2NpAl9 | Alexandria | PBE | relaxed
# Calculated total energy = -177.97 eV/cell
# ΔE_f = -0.2717 eV/atom
data_Sm2NpAl9
_cell_length_a 5.5666
_cell_length_b 5.5666
_cell_length_c 26.6522
_cell_angle_alpha 90.00
_cell_angle_beta 90.00
_cell_angle_gamma 120.00
_space_group_name_H-M_alt 'R -3 m'
_space_group_IT_number 166
_space_group_name_Hall '-R 3 2"'
loop_
_atom_site_label
_atom_site_fract_x
_atom_site_fract_y
_atom_site_fract_z
_atom_site_occupancy
Sm1 0.0000 0.0000 0.1398 1
Np1 0.0000 0.0000 0.0000 1
Al1 0.0000 0.0000 0.3345 1
Al2 0.0000 0.0000 0.5000 1
Al3 0.0053 0.5026 0.9178 1

***

[12]
# SmNpAl4 | Alexandria | PBE | relaxed
# Calculated total energy = -136.28 eV/cell
# ΔE_f = -0.2399 eV/atom
data_SmNpAl4
_cell_length_a 7.8932
_cell_length_b 7.8932
_cell_length_c 7.8932
_cell_angle_alpha 90.00
_cell_angle_beta 90.00
_cell_angle_gamma 90.00
_space_group_name_H-M_alt 'F -4 3 m'
_space_group_IT_number 216
_space_group_name_Hall 'F -4 2 3'
loop_
_atom_site_label
_atom_site_fract_x
_atom_site_fract_y
_atom_site_fract_z
_atom_site_occupancy
Sm1 0.0000 0.0000 0.0000 1
Np1 0.2500 0.2500 0.2500 1
Al1 0.1243 0.1243 0.6243 1